The following is a DFT calculation (GGA-PBE) of a geometry-optimized TlHgBiCl6 structure.

- formation energy (no corrections) (eV per atom) = -0.876
- SG = No. 163
- final energy (eV per atom) = -2.84
- density of states at the Fermi level (states/eV/cell) = 0.000
- calculated volume (Å³ per atom) = 33.900

Cell lengths 7.1124, 7.1124, 13.9286 Å; angles 90.00, 90.00, 120.00 degrees
With the nearest neighbours (Å) after each atom.
Positions (direct):
Tl (0.0000, 0.0000, 0.0000)  6 Cl 3.26
Tl (0.0000, 0.0000, 0.5000)  6 Cl 3.26
Hg (0.3333, 0.6667, 0.2500)  6 Cl 2.73
Hg (0.6667, 0.3333, 0.7500)  6 Cl 2.73
Bi (0.3333, 0.6667, 0.7500)  6 Cl 2.74
Bi (0.6667, 0.3333, 0.2500)  6 Cl 2.74
Cl (0.0020, 0.3715, 0.1384)  1 Hg 2.73, 1 Bi 2.74
Cl (0.0020, 0.6305, 0.3616)  1 Hg 2.73, 1 Bi 2.74
Cl (0.3695, 0.3715, 0.3616)  1 Hg 2.73, 1 Bi 2.74
Cl (0.3695, 0.9980, 0.1384)  1 Hg 2.73, 1 Bi 2.74
Cl (0.3715, 0.0020, 0.6384)  1 Hg 2.73, 1 Bi 2.74
Cl (0.3715, 0.3695, 0.8616)  1 Hg 2.73, 1 Bi 2.74
Cl (0.6285, 0.6305, 0.1384)  1 Hg 2.73, 1 Bi 2.74
Cl (0.6285, 0.9980, 0.3616)  1 Hg 2.73, 1 Bi 2.74
Cl (0.6305, 0.0020, 0.8616)  1 Hg 2.73, 1 Bi 2.74
Cl (0.6305, 0.6285, 0.6384)  1 Hg 2.73, 1 Bi 2.74
Cl (0.9980, 0.3695, 0.6384)  1 Hg 2.73, 1 Bi 2.74
Cl (0.9980, 0.6285, 0.8616)  1 Hg 2.73, 1 Bi 2.74